A relaxed structure of AcTiMo2O8. Source: Alexandria via LeMat-Bulk, functional GGA+U.

Properties
E = -7.7513 eV/atom
M_tot = 3.000 μB per formula unit

Cell: 4.8995 6.7063 4.9038 Å, 90.00 93.53 90.00°
Closest atoms and distances in Å follow each position.
Space group P2/m (No. 10)
Unique sites:
1 Ac 0.0000 0.0000 0.0000 [1 per cell]  6 O 2.39-2.43
2 Ti 0.0000 0.5000 0.0000 [1 per cell]  4 O 1.94
3 Mo 0.5000 0.2617 0.5000 [2 per cell]  6 O 1.98-2.11
4 O 0.2078 0.2976 0.2057 [4 per cell]  1 Ti 1.94, 1 Mo 1.98
5 O 0.3083 0.5000 0.6900 [2 per cell]  2 Mo 2.10, 1 Ti 2.21
6 O 0.3325 0.0000 0.6625 [2 per cell]  2 Mo 2.11, 1 O 2.36